ZrW2F: optimized geometry, GGA+U.

Computed properties:
For the total energy, the calculation gives -5.241 eV per atom. Its theoretical density is 10.3 g cm⁻³.

Unit cell a=4.7837 b=4.7837 c=4.7837 alpha=60.00 beta=60.00 gamma=60.00
Last column: nearest neighbours and their distance in Å.
Fractional coordinates of all 4 atoms:
W  0.2500  0.2500  0.2500  4 Zr 2.93, 4 F 2.93
Zr  0.5000  0.5000  0.5000  8 W 2.93
F  0.0000  0.0000  0.0000  8 W 2.93
W  0.7500  0.7500  0.7500  4 Zr 2.93, 4 F 2.93